1.
Cu4SiAs after structural relaxation. Source: Alexandria via LeMat-Bulk, functional GGA-PBE. Values from VASP.

```
&SYSTEM
  ibrav = 0, nat = 6, ntyp = 3
/
ATOMIC_SPECIES
Cu 63.55 Cu.upf
Si 28.09 Si.upf
As 74.92 As.upf
CELL_PARAMETERS angstrom
0.000 3.458 3.458
3.458 0.000 3.458
3.458 3.458 0.000
ATOMIC_POSITIONS angstrom
Cu 0.866 0.866 0.866
Cu 2.591 2.591 0.866
Cu 2.591 0.866 2.591
Cu 0.866 2.591 2.591
Si 3.458 3.458 3.458
As 5.187 5.187 5.187
```

Summary:
space group = No. 216
formation energy without anion corrections = 4.9 kcal/mol of atoms
V = 82.7 Å³/cell
energy = -25.17 eV/f.u.

---

2.
CuSiAs2 after structural relaxation. Source: Alexandria via LeMat-Bulk, functional GGA-PBE. Values from VASP.

```
&SYSTEM
  ibrav = 0, nat = 4, ntyp = 3
/
ATOMIC_SPECIES
Cu 63.55 Cu.upf
Si 28.09 Si.upf
As 74.92 As.upf
CELL_PARAMETERS angstrom
1.711 -2.198 0.000
1.711 2.198 0.000
0.000 0.000 8.814
ATOMIC_POSITIONS angstrom
Cu 0.000 0.000 0.000
Si 0.000 0.000 4.407
As 1.711 0.000 2.002
As 1.711 0.000 6.812
```

Summary:
space group = No. 65
formation energy without anion corrections = 9.3 kcal/mol of atoms
V = 66.3 Å³/cell
energy = -17.21 eV/f.u.

---

3.
CuSiAs2 after structural relaxation. Source: Alexandria via LeMat-Bulk, functional GGA-PBE. Values from VASP.

```
&SYSTEM
  ibrav = 0, nat = 8, ntyp = 3
/
ATOMIC_SPECIES
Cu 63.55 Cu.upf
Si 28.09 Si.upf
As 74.92 As.upf
CELL_PARAMETERS angstrom
-2.790 2.790 5.402
2.790 -2.790 5.402
2.790 2.790 -5.402
ATOMIC_POSITIONS angstrom
Cu 0.000 0.000 0.000
Cu 0.000 2.790 2.701
Si 2.790 0.000 2.701
Si 0.000 0.000 5.402
As 4.185 1.374 -1.350
As 1.374 1.395 1.350
As -1.395 1.416 4.051
As 1.416 1.395 6.752
```

Summary:
space group = No. 122
formation energy without anion corrections = -0.2 kcal/mol of atoms
V = 168.2 Å³/cell
energy = -18.86 eV/f.u.

---

4.
CuSiAs2 after structural relaxation. Source: Alexandria via LeMat-Bulk, functional GGA-PBE. Values from VASP.

```
&SYSTEM
  ibrav = 0, nat = 4, ntyp = 3
/
ATOMIC_SPECIES
Cu 63.55 Cu.upf
Si 28.09 Si.upf
As 74.92 As.upf
CELL_PARAMETERS angstrom
3.155 -1.817 0.000
3.155 1.817 0.000
-2.076 0.000 5.923
ATOMIC_POSITIONS angstrom
Cu 0.000 0.000 0.000
Si 2.117 0.000 2.962
As 0.015 0.000 4.440
As 4.218 0.000 1.483
```

Summary:
space group = No. 12
formation energy without anion corrections = 3.3 kcal/mol of atoms
V = 67.9 Å³/cell
energy = -18.25 eV/f.u.

---

5.
CuSiAs2 after structural relaxation. Source: Alexandria via LeMat-Bulk, functional GGA-PBE. Values from VASP.

```
&SYSTEM
  ibrav = 0, nat = 4, ntyp = 3
/
ATOMIC_SPECIES
Cu 63.55 Cu.upf
Si 28.09 Si.upf
As 74.92 As.upf
CELL_PARAMETERS angstrom
2.780 0.000 0.000
0.000 3.465 0.000
0.000 0.000 6.881
ATOMIC_POSITIONS angstrom
Cu 0.000 0.000 0.000
Si 0.000 0.000 3.440
As 1.390 1.732 1.612
As 1.390 1.732 5.269
```

Summary:
space group = No. 47
formation energy without anion corrections = 9.0 kcal/mol of atoms
V = 66.3 Å³/cell
energy = -17.27 eV/f.u.

---

6.
CuSiAs2 after structural relaxation. Source: Alexandria via LeMat-Bulk, functional GGA-PBE. Values from VASP.

```
&SYSTEM
  ibrav = 0, nat = 4, ntyp = 3
/
ATOMIC_SPECIES
Cu 63.55 Cu.upf
Si 28.09 Si.upf
As 74.92 As.upf
CELL_PARAMETERS angstrom
-2.535 2.535 2.676
2.535 -2.535 2.676
2.535 2.535 -2.676
ATOMIC_POSITIONS angstrom
Cu 0.000 0.000 0.000
Si 0.000 0.000 2.676
As 2.535 0.000 0.000
As 0.000 2.535 0.000
```

Summary:
space group = No. 139
formation energy without anion corrections = 5.0 kcal/mol of atoms
V = 68.8 Å³/cell
energy = -17.94 eV/f.u.

---

Which of these has the highest V?
number 3

---

Which of these has the highest formation energy without anion corrections?
number 2

---

energy of number 6 (CuSiAs2)?
-17.94 eV/f.u.